# 1
Crystalline TlIn2Br6 at its relaxed geometry, computed with PBE-GGA.

Results
**Space-group type**: No. 15
**E_form (uncorrected)**: -0.737 eV per atom
**Theoretical density**: 3.6 g/cm3

a b c (Å): 8.6839 10.3676 10.3676
angles (deg): 81.42 73.14 73.14
Last column: nearest neighbours and their distance in Å.
Fractional positions:
Br 0.1788 0.0441 0.6051  1 In 2.58
Br 0.3326 0.0247 0.1880  1 In 2.59
Br 0.8212 0.9559 0.3949  1 In 2.58
Br 0.6788 0.6051 0.0441  1 In 2.58
Br 0.1674 0.8120 0.9753  1 In 2.59
Br 0.0811 0.6423 0.6513  2 In 2.71
Br 0.9189 0.3577 0.3487  2 In 2.71
Br 0.8326 0.1880 0.0247  1 In 2.59
Br 0.3212 0.3949 0.9559  1 In 2.58
Br 0.6674 0.9753 0.8120  1 In 2.59
Br 0.5811 0.6513 0.6423  2 In 2.71
Br 0.4189 0.3487 0.3577  2 In 2.71
In 0.7118 0.3791 0.1901  4 Br 2.58-2.71
In 0.7882 0.8099 0.6209  4 Br 2.58-2.71
In 0.2118 0.1901 0.3791  4 Br 2.58-2.71
In 0.2882 0.6209 0.8099  4 Br 2.58-2.71
Tl 0.2500 0.1211 0.8789  6 Br 3.33-3.43
Tl 0.7500 0.8789 0.1211  6 Br 3.33-3.43



# 2
Crystalline Nd2SmTm at its relaxed geometry, computed with PBE-GGA.

Results
**Space-group type**: No. 123
**Theoretical density**: 7.5 g/cm3
**ΔH_f (0 K)**: 0.0163 eV per atom
**Relative energy among the computed polymorphs**: 0 kJ/mol of formula units

a b c (Å): 5.0927 5.1275 5.1275
angles (deg): 90.00 90.00 90.00
Last column: nearest neighbours and their distance in Å.
Fractional positions:
Nd 0.0000 0.5000 0.0000  4 Tm 3.61, 4 Sm 3.61, 4 Nd 3.63
Nd 0.0000 0.0000 0.5000  4 Tm 3.61, 4 Sm 3.61, 4 Nd 3.63
Tm 0.5000 0.5000 0.5000  8 Nd 3.61, 4 Sm 3.63
Sm 0.5000 0.0000 0.0000  8 Nd 3.61, 4 Tm 3.63



# 3
Crystalline Pm5SmTl2 at its relaxed geometry, computed with PBE-GGA.

Results
**Space-group type**: No. 55
**Theoretical density**: 8.7 g/cm3
**ΔH_f (0 K)**: -0.2037 eV per atom
**Relative energy among the computed polymorphs**: 0 kJ/mol of formula units

a b c (Å): 4.9595 7.0131 14.0279
angles (deg): 90.00 90.00 90.00
Last column: nearest neighbours and their distance in Å.
Fractional positions:
Pm 0.5000 0.2495 0.8753  4 Tl 3.50-3.51, 6 Pm 3.50-3.51, 2 Sm 3.51
Pm 0.5000 0.2505 0.3753  4 Tl 3.50-3.51, 6 Pm 3.50-3.51, 2 Sm 3.51
Pm 0.5000 0.7505 0.1247  4 Tl 3.50-3.51, 6 Pm 3.50-3.51, 2 Sm 3.51
Pm 0.0000 0.9988 0.7498  1 Sm 3.50, 4 Tl 3.51, 7 Pm 3.51
Pm 0.0000 0.0012 0.2502  1 Sm 3.50, 4 Tl 3.51, 7 Pm 3.51
Pm 0.0000 0.0000 0.0000  6 Pm 3.50-3.51, 2 Sm 3.51, 4 Tl 3.51
Pm 0.0000 0.5000 0.5000  6 Pm 3.50-3.51, 2 Sm 3.51, 4 Tl 3.51
Pm 0.0000 0.4988 0.7502  1 Sm 3.50, 4 Tl 3.51, 7 Pm 3.51
Pm 0.5000 0.7495 0.6247  4 Tl 3.50-3.51, 6 Pm 3.50-3.51, 2 Sm 3.51
Pm 0.0000 0.5012 0.2498  1 Sm 3.50, 4 Tl 3.51, 7 Pm 3.51
Tl 0.5000 0.7515 0.3751  10 Pm 3.50-3.51, 2 Sm 3.50
Tl 0.5000 0.2485 0.6249  10 Pm 3.50-3.51, 2 Sm 3.50
Tl 0.5000 0.7485 0.8751  10 Pm 3.50-3.51, 2 Sm 3.50
Tl 0.5000 0.2515 0.1249  10 Pm 3.50-3.51, 2 Sm 3.50
Sm 0.0000 0.0000 0.5000  4 Tl 3.50, 8 Pm 3.50-3.51
Sm 0.0000 0.5000 0.0000  4 Tl 3.50, 8 Pm 3.50-3.51



# 4
Crystalline CeTeAsPd2 at its relaxed geometry, computed with PBE-GGA.

Results
**Space-group type**: No. 108
**E_form (uncorrected)**: -0.697 eV per atom
**Theoretical density**: 7.7 g/cm3

a b c (Å): 5.8794 5.8794 8.0882
angles (deg): 111.31 111.31 90.00
Last column: nearest neighbours and their distance in Å.
Fractional positions:
Pd 0.7765 0.6066 0.8831  1 As 2.66, 2 Te 2.70, 1 Pd 2.75
Pd 0.6066 0.1066 0.8831  1 As 2.66, 2 Te 2.70, 1 Pd 2.75
Pd 0.2765 0.7765 0.8831  1 As 2.66, 2 Te 2.70, 1 Pd 2.75
Pd 0.1066 0.2765 0.8831  1 As 2.66, 2 Te 2.70, 1 Pd 2.75
Te 0.0545 0.0545 0.1090  4 Pd 2.70
Te 0.5545 0.5545 0.1090  4 Pd 2.70
Ce 0.7857 0.7857 0.5714  4 As 2.94, 4 Pd 3.08, 1 Te 3.21
Ce 0.2857 0.2857 0.5714  4 As 2.94, 4 Pd 3.08, 1 Te 3.21
As 0.2770 0.7770 0.5539  2 Pd 2.66, 4 Ce 2.94
As 0.7770 0.2770 0.5539  2 Pd 2.66, 4 Ce 2.94



# 5
Crystalline LiIrRh at its relaxed geometry, computed with PBE-GGA.

Results
**Space-group type**: No. 156
**Theoretical density**: 11.8 g/cm3
**ΔH_f (0 K)**: -0.0065 eV per atom
**Relative energy among the computed polymorphs**: 23 kJ/mol of formula units

a b c (Å): 2.7040 2.7040 6.6899
angles (deg): 90.00 90.00 120.00
Last column: nearest neighbours and their distance in Å.
Fractional positions:
Ir 0.0000 0.0000 0.9983  3 Rh 2.70, 6 Ir 2.70, 3 Li 2.73
Rh 0.6667 0.3333 0.6693  3 Ir 2.70, 6 Rh 2.70, 3 Li 2.74
Li 0.3333 0.6667 0.3325  6 Li 2.70, 3 Ir 2.73, 3 Rh 2.74



# 6
Crystalline PrAuC2O6 at its relaxed geometry, computed with PBE-GGA.

Results
**Space-group type**: No. 15
**E_form (uncorrected)**: -1.709 eV per atom
**Theoretical density**: 5.2 g/cm3

a b c (Å): 6.7143 6.7143 7.7573
angles (deg): 113.25 113.25 88.88
Last column: nearest neighbours and their distance in Å.
Fractional positions:
O 0.0824 0.6228 0.7871  1 C 1.26
O 0.8607 0.7099 0.9589  1 C 1.33
O 0.4723 0.2861 0.8767  1 C 1.30
O 0.7139 0.5277 0.6233  1 C 1.30
O 0.2901 0.1393 0.5411  1 C 1.33
O 0.6228 0.0824 0.2871  1 C 1.26
O 0.9176 0.3772 0.2129  1 C 1.26
O 0.1393 0.2901 0.0411  1 C 1.33
O 0.7099 0.8607 0.4589  1 C 1.33
O 0.5277 0.7139 0.1233  1 C 1.30
O 0.3772 0.9176 0.7129  1 C 1.26
O 0.2861 0.4723 0.3767  1 C 1.30
Au 0.0909 0.9091 0.2500  2 O 2.05
Au 0.9091 0.0909 0.7500  2 O 2.05
C 0.1038 0.3791 0.2103  3 O 1.26-1.33
C 0.3791 0.1038 0.7103  3 O 1.26-1.33
C 0.8962 0.6209 0.7897  3 O 1.26-1.33
C 0.6209 0.8962 0.2897  3 O 1.26-1.33
Pr 0.5806 0.4194 0.2500  6 O 2.39-2.50
Pr 0.4194 0.5806 0.7500  6 O 2.39-2.50